1.
Below is a relaxed Ce6PuTl3 crystal, with properties calculated at the PBE level.

abc: 8.3488 8.3488 8.3487
angles: 78.70 78.70 78.70
Last column: nearest neighbours and their distance in Å.
Element x y z (fractional)
Ce: 0.1359 0.8069 0.8069  1 Pu 2.46
Ce: 0.1931 0.8641 0.1931  1 Pu 2.46
Ce: 0.1959 0.5251 0.5251  1 Pu 2.48
Ce: 0.1931 0.1931 0.8641  1 Pu 2.46
Ce: 0.5251 0.5251 0.1959  1 Pu 2.48
Ce: 0.4749 0.8041 0.4749  1 Pu 2.48
Ce: 0.5251 0.1959 0.5251  1 Pu 2.48
Ce: 0.4749 0.4749 0.8041  1 Pu 2.48
Ce: 0.8069 0.8069 0.1359  1 Pu 2.46
Ce: 0.8041 0.4749 0.4749  1 Pu 2.48
Ce: 0.8069 0.1359 0.8069  1 Pu 2.46
Ce: 0.8641 0.1931 0.1931  1 Pu 2.46
Pu: 0.0000 0.0000 0.0000  6 Ce 2.46
Pu: 0.5000 0.5000 0.5000  6 Ce 2.48
Tl: 0.1405 0.4752 0.1405  9 Ce 3.45-3.55, 3 Tl 3.54-3.55
Tl: 0.1405 0.1405 0.4752  9 Ce 3.45-3.55, 3 Tl 3.54-3.55
Tl: 0.5248 0.8595 0.8595  9 Ce 3.45-3.55, 3 Tl 3.54-3.55
Tl: 0.4752 0.1405 0.1405  9 Ce 3.45-3.55, 3 Tl 3.54-3.55
Tl: 0.8595 0.8595 0.5248  9 Ce 3.45-3.55, 3 Tl 3.54-3.55
Tl: 0.8595 0.5248 0.8595  9 Ce 3.45-3.55, 3 Tl 3.54-3.55

Summary:
DOS at the Fermi energy	35.6	states/eV/cell
raw total energy	-5.937	eV per atom


2.
Below is a relaxed Sc3ZnN crystal, with properties calculated at the PBE level.

abc: 8.3434 8.3434 8.3434
angles: 60.00 60.00 60.00
Last column: nearest neighbours and their distance in Å.
Element x y z (fractional)
Sc: 0.8126 0.1874 0.1874  2 N 2.21
Sc: 0.0626 0.4374 0.4374  2 N 2.21
Sc: 0.4374 0.4374 0.0626  2 N 2.21
Sc: 0.4374 0.0626 0.0626  2 N 2.21
Sc: 0.0626 0.4374 0.0626  2 N 2.21
Sc: 0.8126 0.1874 0.8126  2 N 2.21
Sc: 0.4374 0.0626 0.4374  2 N 2.21
Sc: 0.0626 0.0626 0.4374  2 N 2.21
Sc: 0.1874 0.8126 0.1874  2 N 2.21
Sc: 0.1874 0.8126 0.8126  2 N 2.21
Sc: 0.1874 0.1874 0.8126  2 N 2.21
Sc: 0.8126 0.8126 0.1874  2 N 2.21
Zn: 0.6250 0.6250 0.6250  6 Sc 3.04
Zn: 0.6250 0.1250 0.6250  6 Sc 3.04
Zn: 0.1250 0.6250 0.6250  6 Sc 3.04
Zn: 0.6250 0.6250 0.1250  6 Sc 3.04
N: 0.1250 0.1250 0.1250  6 Sc 2.21
N: 0.1250 0.6250 0.1250  6 Sc 2.21
N: 0.6250 0.1250 0.1250  6 Sc 2.21
N: 0.1250 0.1250 0.6250  6 Sc 2.21

Summary:
DOS at the Fermi energy	29.6	states/eV/cell
raw total energy	-6.241	eV per atom
formation energy without anion corrections	-2.61	eV per formula unit


3.
Below is a relaxed La16Sm6Dy7 crystal, with properties calculated at the PBE level.

abc: 11.3813 11.3813 11.3813
angles: 60.00 60.00 60.00
Last column: nearest neighbours and their distance in Å.
Element x y z (fractional)
La: 0.8790 0.8790 0.3631  4 Dy 3.37-3.52, 3 La 3.69
La: 0.8790 0.8790 0.8790  4 Dy 3.37-3.52, 3 La 3.69
La: 0.8790 0.3631 0.8790  4 Dy 3.37-3.52, 3 La 3.69
La: 0.3631 0.8790 0.8790  4 Dy 3.37-3.52, 3 La 3.69
La: 0.1210 0.1210 0.1210  4 Dy 3.37-3.52, 3 La 3.69
La: 0.1210 0.1210 0.6369  4 Dy 3.37-3.52, 3 La 3.69
La: 0.1210 0.6369 0.1210  4 Dy 3.37-3.52, 3 La 3.69
La: 0.6369 0.1210 0.1210  4 Dy 3.37-3.52, 3 La 3.69
La: 0.6544 0.6544 0.0367  3 Dy 3.30, 3 Sm 3.61, 3 La 3.69
La: 0.6544 0.6544 0.6544  3 Dy 3.30, 3 Sm 3.61, 3 La 3.69
La: 0.6544 0.0367 0.6544  3 Dy 3.30, 3 Sm 3.61, 3 La 3.69
La: 0.0367 0.6544 0.6544  3 Dy 3.30, 3 Sm 3.61, 3 La 3.69
La: 0.3456 0.3456 0.3456  3 Dy 3.30, 3 Sm 3.61, 3 La 3.69
La: 0.3456 0.3456 0.9633  3 Dy 3.30, 3 Sm 3.61, 3 La 3.69
La: 0.3456 0.9633 0.3456  3 Dy 3.30, 3 Sm 3.61, 3 La 3.69
La: 0.9633 0.3456 0.3456  3 Dy 3.30, 3 Sm 3.61, 3 La 3.69
Sm: 0.2950 0.7050 0.2950  8 La 3.61-3.93
Sm: 0.7050 0.2950 0.7050  8 La 3.61-3.93
Sm: 0.7050 0.2950 0.2950  8 La 3.61-3.93
Sm: 0.2950 0.7050 0.7050  8 La 3.61-3.93
Sm: 0.7050 0.7050 0.2950  8 La 3.61-3.93
Sm: 0.2950 0.2950 0.7050  8 La 3.61-3.93
Dy: 0.0000 0.0000 0.0000  8 La 3.37
Dy: 0.5000 0.0000 0.5000  8 La 3.30-3.52
Dy: 0.0000 0.5000 0.0000  8 La 3.30-3.52
Dy: 0.0000 0.5000 0.5000  8 La 3.30-3.52
Dy: 0.5000 0.0000 0.0000  8 La 3.30-3.52
Dy: 0.0000 0.0000 0.5000  8 La 3.30-3.52
Dy: 0.5000 0.5000 0.0000  8 La 3.30-3.52

Summary:
DOS at the Fermi energy	58.3	states/eV/cell
raw total energy	-4.615	eV per atom


4.
Below is a relaxed HoBIr2 crystal, with properties calculated at the PBE level.

abc: 3.4674 3.4674 6.5660
angles: 74.69 74.69 60.00
Last column: nearest neighbours and their distance in Å.
Element x y z (fractional)
B: 0.0000 0.0000 0.0000  6 Ir 2.22
Ir: 0.7179 0.7179 0.8463  3 B 2.22
Ir: 0.2821 0.2821 0.1537  3 B 2.22
Ho: 0.5000 0.5000 0.5000  6 Ir 2.95

Summary:
DOS at the Fermi energy	2.2	states/eV/cell
raw total energy	-7.492	eV per atom


5.
Below is a relaxed Zn3BiS crystal, with properties calculated at the PBE level.

abc: 4.7849 4.7849 4.7849
angles: 90.00 90.00 90.00
Last column: nearest neighbours and their distance in Å.
Element x y z (fractional)
S: 0.0000 0.0000 0.0000  6 Zn 2.39
Zn: 0.0000 0.5000 0.0000  2 S 2.39
Zn: 0.0000 0.0000 0.5000  2 S 2.39
Zn: 0.5000 0.0000 0.0000  2 S 2.39
Bi: 0.5000 0.5000 0.5000  12 Zn 3.38

Summary:
polymorph energy (0 for the lowest one)	0.0000	eV/atom
DOS at the Fermi energy	3.2	states/eV/cell
raw total energy	-2.141	eV per atom
formation energy without anion corrections	1.13	eV per formula unit


6.
Below is a relaxed LaTlVIr2 crystal, with properties calculated at the PBE level.

abc: 4.6687 5.2499 4.6687
angles: 90.00 90.00 90.00
Last column: nearest neighbours and their distance in Å.
Element x y z (fractional)
Tl: 0.5000 0.5000 0.5000  4 La 3.30, 8 Ir 3.51
Ir: 0.0000 0.0000 0.5000  2 V 2.33
Ir: 0.5000 0.0000 0.0000  2 V 2.33
V: 0.0000 0.0000 0.0000  4 Ir 2.33
La: 0.0000 0.5000 0.0000  2 V 2.62

Summary:
DOS at the Fermi energy	4.4	states/eV/cell
raw total energy	-6.310	eV per atom


7.
Below is a relaxed BaFeCoNi2 crystal, with properties calculated at the PBE level.

abc: 4.5901 4.3080 4.5901
angles: 90.00 90.00 90.00
Last column: nearest neighbours and their distance in Å.
Element x y z (fractional)
Ni: 0.0000 0.0000 0.5000  2 Co 2.30
Ni: 0.5000 0.0000 0.0000  2 Co 2.30
Co: 0.0000 0.0000 0.0000  2 Fe 2.15, 4 Ni 2.30
Ba: 0.5000 0.5000 0.5000  8 Ni 3.15, 4 Fe 3.25
Fe: 0.0000 0.5000 0.0000  2 Co 2.15

Summary:
DOS at the Fermi energy	10.1	states/eV/cell
raw total energy	-5.057	eV per atom


8.
Below is a relaxed In2GaCuHg crystal, with properties calculated at the PBE level.

abc: 5.4196 4.6475 5.4196
angles: 90.00 90.00 90.00
Last column: nearest neighbours and their distance in Å.
Element x y z (fractional)
Cu: 0.0000 0.5000 0.0000  2 Ga 2.32
Hg: 0.5000 0.5000 0.5000  8 In 3.57, 4 Cu 3.83
Ga: 0.0000 0.0000 0.0000  2 Cu 2.32
In: 0.0000 0.0000 0.5000  2 Ga 2.71
In: 0.5000 0.0000 0.0000  2 Ga 2.71

Summary:
polymorph energy (0 for the lowest one)	0.1842	eV/atom
DOS at the Fermi energy	2.0	states/eV/cell
raw total energy	-2.290	eV per atom


9.
Below is a relaxed TcRu2Pt6 crystal, with properties calculated at the PBE level.

abc: 2.7862 2.7862 20.5188
angles: 90.00 90.00 120.00
Last column: nearest neighbours and their distance in Å.
Element x y z (fractional)
Tc: 0.3333 0.6667 0.0000  6 Pt 2.70, 6 Tc 2.79
Ru: 0.6667 0.3333 0.3297  6 Pt 2.70-2.72, 6 Ru 2.79
Ru: 0.6667 0.3333 0.6703  6 Pt 2.70-2.72, 6 Ru 2.79
Pt: 0.6667 0.3333 0.8943  3 Tc 2.70, 9 Pt 2.79-2.89
Pt: 0.3333 0.6667 0.4356  7 Pt 2.64-2.79, 3 Ru 2.70
Pt: 0.3333 0.6667 0.7774  3 Ru 2.72, 9 Pt 2.79-2.89
Pt: 0.3333 0.6667 0.2226  3 Ru 2.72, 9 Pt 2.79-2.89
Pt: 0.3333 0.6667 0.5644  7 Pt 2.64-2.79, 3 Ru 2.70
Pt: 0.6667 0.3333 0.1057  3 Tc 2.70, 9 Pt 2.79-2.89

Summary:
DOS at the Fermi energy	11.9	states/eV/cell
raw total energy	-7.220	eV per atom


10.
Below is a relaxed Pm2Al3Si2 crystal, with properties calculated at the PBE level.

abc: 4.1321 5.6168 6.7241
angles: 101.13 90.00 111.58
Last column: nearest neighbours and their distance in Å.
Element x y z (fractional)
Pm: 0.6206 0.2412 0.3223  5 Si 2.97-3.07, 6 Al 3.07-3.31
Pm: 0.3794 0.7588 0.6777  5 Si 2.97-3.07, 6 Al 3.07-3.31
Al: 0.3066 0.6132 0.1336  2 Si 2.65, 2 Al 2.83
Al: 0.0000 0.0000 0.0000  2 Si 2.76, 4 Pm 3.07
Al: 0.6934 0.3868 0.8664  2 Si 2.65, 2 Al 2.83
Si: 0.0908 0.1816 0.6427  1 Si 2.40, 2 Al 2.65
Si: 0.9092 0.8184 0.3573  1 Si 2.40, 2 Al 2.65

Summary:
DOS at the Fermi energy	2.3	states/eV/cell
raw total energy	-5.047	eV per atom
formation energy without anion corrections	-3.75	eV per formula unit


11.
Below is a relaxed NpTcSnPd crystal, with properties calculated at the PBE level.

abc: 4.7556 4.7556 4.7556
angles: 60.00 60.00 60.00
Last column: nearest neighbours and their distance in Å.
Element x y z (fractional)
Np: 0.7500 0.7500 0.7500  4 Pd 2.91, 4 Tc 2.91
Sn: 0.2500 0.2500 0.2500  4 Pd 2.91, 4 Tc 2.91
Pd: 0.5000 0.5000 0.5000  4 Np 2.91, 4 Sn 2.91
Tc: 0.0000 0.0000 0.0000  4 Sn 2.91, 4 Np 2.91

Summary:
DOS at the Fermi energy	7.4	states/eV/cell
raw total energy	-8.205	eV per atom


12.
Below is a relaxed FePdC2Br crystal, with properties calculated at the PBE level.

abc: 4.0937 4.4613 4.0937
angles: 90.00 90.00 90.00
Last column: nearest neighbours and their distance in Å.
Element x y z (fractional)
C: 0.0000 0.0000 0.5000  2 Br 2.05
C: 0.5000 0.0000 0.0000  2 Br 2.05
Br: 0.0000 0.0000 0.0000  4 C 2.05, 2 Fe 2.23
Pd: 0.5000 0.5000 0.5000  4 Fe 2.89, 8 C 3.03
Fe: 0.0000 0.5000 0.0000  2 Br 2.23

Summary:
DOS at the Fermi energy	5.5	states/eV/cell
raw total energy	-3.870	eV per atom
formation energy without anion corrections	14.43	eV per formula unit


Question: Look up the DOS at the Fermi energy of the fourth one.
Answer: 2.2 states/eV/cell


Question: Number 1 is which compound?
Answer: Ce6PuTl3


Question: The lowest DOS at the Fermi energy belongs to which entry?
Answer: In2GaCuHg


Question: Number 1 is which compound?
Answer: Ce6PuTl3